No. 1
NaZr2Co, optimized geometry, DFT PBE-GGA; E_tot = -23.98 eV per cell; DOS at the Fermi energy = 5.53 states/eV/cell; crystal system = cubic; size of the total moment = 0.2 μB per formula unit; E_form = 0.38 eV/atom; excess energy over the best structure of this formula in the dataset = 0.0 meV/atom
1.0
3.1525 0.7380 3.4327
-1.4484 1.3499 4.2832
0.2738 -2.9953 3.6358
Na Co Zr
1 1 2
direct
0.0000 0.0000 0.0000
0.5000 0.5000 0.5000
0.2500 0.2500 0.2500
0.7500 0.7500 0.7500

---

No. 2
DyZrS, optimized geometry, DFT PBE-GGA; E_tot = -19.01 eV per cell; DOS at the Fermi energy = 3.29 states/eV/cell; raw formation energy = -578 meV per atom; crystal system = hexagonal; size of the total moment = 0.0 μB per formula unit; excess energy over the best structure of this formula in the dataset = 506.0 meV/atom
1.0
4.0400 0.0000 0.0000
0.0000 4.4219 0.0000
0.0000 -2.2110 3.8295
S Zr Dy
1 1 1
direct
0.1664 0.0000 0.0000
0.1667 0.3333 0.6667
0.6668 0.6667 0.3333

---

No. 3
Ac2La3Ga4, optimized geometry, DFT PBE-GGA; E_tot = -79.35 eV per cell; DOS at the Fermi energy = 16.56 states/eV/cell; crystal system = monoclinic; size of the total moment = 0.0 μB per formula unit; E_form = -0.51 eV/atom
1.0
-3.2044 -1.5943 -7.1150
7.6371 -3.8137 0.0221
-3.5087 -7.0081 3.1506
Ac La Ga
4 6 8
direct
0.5710 0.1896 0.3221
0.9290 0.8104 0.8221
0.4290 0.8104 0.6779
0.0710 0.1896 0.1779
0.0000 0.5000 0.5000
0.5000 0.5000 0.0000
0.7518 0.2376 0.8229
0.7482 0.7624 0.3229
0.2482 0.7624 0.1771
0.2518 0.2376 0.6771
0.8751 0.0775 0.5340
0.6249 0.9225 0.0340
0.1249 0.9225 0.4660
0.3751 0.0775 0.9660
0.8829 0.4959 0.1151
0.6171 0.5041 0.6151
0.1171 0.5041 0.8849
0.3829 0.4959 0.3849

---

No. 4
TaNb14Zn, optimized geometry, DFT PBE-GGA; E_tot = -154.40 eV per cell; DOS at the Fermi energy = 16.71 states/eV/cell; crystal system = tetragonal; size of the total moment = 0.0 μB per formula unit; E_form = -0.02 eV/atom
1.0
-1.7574 2.5789 -5.8401
-6.2722 0.4319 2.0781
1.1897 6.0809 2.3272
Ta Nb Zn
1 14 1
direct
0.3750 0.3750 0.5000
0.8750 0.8750 0.0000
0.3750 0.3750 0.0000
0.8750 0.3750 0.5000
0.8750 0.3750 0.0000
0.3750 0.8750 0.5000
0.3750 0.8750 0.0000
0.6231 0.1269 0.2477
0.6231 0.1269 0.7523
0.1269 0.6231 0.2477
0.1269 0.6231 0.7523
0.6230 0.6230 0.2477
0.6230 0.6230 0.7523
0.1270 0.1270 0.2477
0.1270 0.1270 0.7523
0.8750 0.8750 0.5000

---

No. 5
SmAlNi2H, optimized geometry, DFT PBE-GGA; E_tot = -51.87 eV per cell; DOS at the Fermi energy = 4.16 states/eV/cell; crystal system = orthorhombic; size of the total moment = 0.0 μB per formula unit
1.0
-0.4990 -0.1430 -3.7463
-3.0111 -4.0284 2.4640
-5.3852 4.3622 0.5509
Sm Al Ni H
2 2 4 2
direct
0.4366 0.8732 0.7500
0.5634 0.1268 0.2500
0.7186 0.4372 0.7500
0.2814 0.5628 0.2500
0.1589 0.3178 0.9435
0.8411 0.6822 0.0565
0.1589 0.3178 0.5565
0.8411 0.6822 0.4435
0.0000 0.0000 0.0000
0.0000 0.0000 0.5000

---

No. 6
GaFeSe3, optimized geometry, DFT PBE-GGA; E_tot = -18.47 eV per cell; DOS at the Fermi energy = 6.71 states/eV/cell; raw formation energy = 694 meV per atom; crystal system = cubic; size of the total moment = 3.8 μB per formula unit
1.0
-2.2801 -3.7875 2.3618
4.3111 -2.5558 0.0633
1.1565 2.0602 4.4204
Ga Se Fe
1 3 1
direct
0.0000 0.0000 0.0000
0.0000 0.5000 0.0000
0.0000 0.0000 0.5000
0.5000 0.0000 0.0000
0.5000 0.5000 0.5000

---

No. 7
Er5TmTl2, optimized geometry, DFT PBE-GGA; E_tot = -32.80 eV per cell; DOS at the Fermi energy = 10.08 states/eV/cell; crystal system = orthorhombic; size of the total moment = 0.0 μB per formula unit; E_form = -0.10 eV/atom
1.0
3.5511 0.0000 0.0000
1.7756 8.1746 -0.4457
1.7756 2.0343 7.9299
Er Tm Tl
5 1 2
direct
0.0000 0.5000 0.5000
0.6321 0.5991 0.1367
0.3679 0.4009 0.8633
0.3679 0.8633 0.4009
0.6321 0.1367 0.5991
0.0000 0.0000 0.0000
0.7414 0.7586 0.7586
0.2586 0.2414 0.2414

---

No. 8
LaDy6Er2Sc3, optimized geometry, DFT PBE-GGA; E_tot = -60.07 eV per cell; DOS at the Fermi energy = 17.54 states/eV/cell; crystal system = monoclinic; size of the total moment = 0.0 μB per formula unit; E_form = 0.05 eV/atom
1.0
-1.9702 -4.6196 3.3814
-0.6573 -0.1565 -6.0167
10.9708 -3.4269 -0.0948
La Dy Er Sc
1 6 2 3
direct
0.0000 0.0000 0.0000
0.9130 0.5785 0.7393
0.7525 0.7525 0.2610
0.0870 0.4215 0.2607
0.5785 0.9130 0.7393
0.2475 0.2475 0.7390
0.4215 0.0870 0.2607
0.3334 0.6666 0.0000
0.6666 0.3334 0.0000
0.1670 0.8330 0.5000
0.8330 0.1670 0.5000
0.5000 0.5000 0.5000